No. 1
Entry from the Alexandria database: an optimized crystal structure of Tm2Ni2SnRh5 (PBE).

The formation energy comes out at -579 meV/atom.

Lattice parameters (Å, degrees): 9.213 9.213 3.855 90.00 90.00 90.00
Space group P4/mbm (No. 127)
Symmetry-distinct sites (fractional):
1 Tm 0.173 0.327 0.000
2 Ni 0.123 0.623 0.000
3 Sn 0.000 0.000 0.000
4 Rh 0.000 0.500 0.500
5 Rh 0.071 0.790 0.500

---

No. 2
Entry from the Alexandria database: an optimized crystal structure of NaBi2Mo2 (PBE).

The distance to the lowest polymorph of the same formula comes out at 30.9 kJ per mole of atoms. The formation energy comes out at 532 meV/atom.

Lattice parameters (Å, degrees): 8.754 8.754 3.322 90.00 90.00 90.00
Space group P4/mbm (No. 127)
Symmetry-distinct sites (fractional):
1 Na 0.000 0.000 0.000
2 Bi 0.178 0.322 0.000
3 Mo 0.091 0.591 0.500

---

No. 3
Entry from the Alexandria database: an optimized crystal structure of Er3AlTl (PBE).

The distance to the lowest polymorph of the same formula comes out at 17.2 kJ per mole of atoms. The formation energy comes out at -86 meV/atom.

Lattice parameters (Å, degrees): 7.9935 7.9935 5.1331 90.00 90.00 120.00
Space group P6_3/mmc (No. 194)
Symmetry-distinct sites (fractional):
1 Er 0.1913 0.3825 0.2500
2 Al 0.0000 0.0000 0.0000
3 Tl 0.3333 0.6667 0.7500

---

No. 4
Entry from the Alexandria database: an optimized crystal structure of MgZn3 (PBE).

The formation energy comes out at -36 meV/atom.

Lattice parameters (Å, degrees): 4.047 4.047 4.047 90.00 90.00 90.00
Space group Pm-3m (No. 221)
Symmetry-distinct sites (fractional):
1 Mg 0.000 0.000 0.000
2 Zn 0.000 0.500 0.500

---

| no. | electronic total energy (Ha/atom) |
| --- | --- |
| 1 | -0.2464 |
| 2 | -0.2064 |
| 3 | -0.1487 |
| 4 | -0.0511 |